YLu2Tl | PBE | relaxed

Unit cell a=4.8009 b=4.8009 c=4.7909 alpha=90.00 beta=90.00 gamma=90.00
Closest atoms and distances in Å follow each position.
Space group P4/mmm (No. 123)
One atom of each set of equivalent atoms:
Y 0.0000 0.0000 0.0000 [1 per cell]  8 Lu 3.39, 4 Tl 3.39
Lu 0.0000 0.5000 0.5000 [2 per cell]  4 Tl 3.39, 4 Y 3.39, 4 Lu 3.39
Tl 0.5000 0.5000 0.0000 [1 per cell]  8 Lu 3.39, 4 Y 3.39

## Properties
Crystal system: tetragonal
E_form: -0.1587 eV/atom
Distance to the lowest polymorph of the same formula: 0.006 eV/atom